VASP calculation (GGA-PBE) on ErTm8Sc2 after structural relaxation.

a b c (Å): 5.2713 8.0613 9.0499
angles (deg): 116.45 106.93 90.00
Last column: nearest neighbours and their distance in Å.
Fractional coordinates of all 11 atoms:
Tm: 0.0000 0.7014 0.0000  7 Tm 3.25-3.45, 2 Sc 3.49, 2 Er 3.57
Tm: 0.6426 0.8484 0.2852  1 Er 3.23, 3 Sc 3.24-3.36, 6 Tm 3.32-3.56
Tm: 0.0000 0.2986 0.0000  7 Tm 3.25-3.45, 2 Sc 3.49, 2 Er 3.57
Tm: 0.6426 0.4368 0.2852  1 Er 3.23, 3 Sc 3.24-3.36, 6 Tm 3.32-3.56
Tm: 0.3574 0.1516 0.7148  1 Er 3.23, 3 Sc 3.24-3.36, 6 Tm 3.32-3.56
Tm: 0.1616 0.1616 0.3232  2 Sc 3.37, 8 Tm 3.43-3.56, 2 Er 3.62
Tm: 0.8384 0.8384 0.6768  2 Sc 3.37, 8 Tm 3.43-3.56, 2 Er 3.62
Tm: 0.3574 0.5632 0.7148  1 Er 3.23, 3 Sc 3.24-3.36, 6 Tm 3.32-3.56
Sc: 0.2017 0.7017 0.4034  10 Tm 3.24-3.49
Sc: 0.7983 0.2983 0.5966  10 Tm 3.24-3.49
Er: 0.5000 0.0000 0.0000  8 Tm 3.23-3.57

**Relative energy among the computed polymorphs**: 0.0 meV per atom
**Energy relative to the elements**: 128 meV/atom
**Total magnetic moment**: 0.0 μB/cell
**Symmetry**: Immm (71)

VASP calculation (GGA-PBE) on ErTm12Sc7 after structural relaxation.

a b c (Å): 9.3626 9.3626 9.3626
angles (deg): 109.47 109.47 109.47
Last column: nearest neighbours and their distance in Å.
Fractional coordinates of all 20 atoms:
Tm: 0.2569 0.5146 0.2577  2 Sc 2.71
Tm: 0.9992 0.7423 0.2569  2 Sc 2.71
Tm: 0.7431 0.0008 0.2577  2 Sc 2.71
Tm: 0.4854 0.7423 0.7431  2 Sc 2.71
Tm: 0.7423 0.7431 0.4854  2 Sc 2.71
Tm: 0.0008 0.2577 0.7431  2 Sc 2.71
Tm: 0.7431 0.4854 0.7423  2 Sc 2.71
Tm: 0.2577 0.2569 0.5146  2 Sc 2.71
Tm: 0.2577 0.7431 0.0008  2 Sc 2.71
Tm: 0.7423 0.2569 0.9992  2 Sc 2.71
Tm: 0.5146 0.2577 0.2569  2 Sc 2.71
Tm: 0.2569 0.9992 0.7423  2 Sc 2.71
Sc: 0.5000 0.0000 0.5000  12 Tm 3.71-3.83
Sc: 0.5000 0.5000 0.0000  12 Tm 3.71-3.83
Sc: 0.5000 0.0000 0.0000  6 Tm 2.71
Sc: 0.0000 0.5000 0.5000  12 Tm 3.71-3.83
Sc: 0.5000 0.5000 0.5000  6 Tm 2.71
Sc: 0.0000 0.5000 0.0000  6 Tm 2.71
Sc: 0.0000 0.0000 0.5000  6 Tm 2.71
Er: 0.0000 0.0000 0.0000  12 Tm 3.93

**Relative energy among the computed polymorphs**: 529.9 meV per atom
**Energy relative to the elements**: 705 meV/atom
**Total magnetic moment**: 0.0 μB/cell
**Symmetry**: Im-3 (204)

VASP calculation (GGA-PBE) on ErTm8Sc4 after structural relaxation.

a b c (Å): 6.9556 6.9562 9.8181
angles (deg): 89.98 110.76 119.99
Last column: nearest neighbours and their distance in Å.
Fractional coordinates of all 13 atoms:
Tm: 0.9622 0.7522 0.7144  1 Er 2.90, 1 Sc 3.15, 2 Tm 3.19
Tm: 0.0378 0.2478 0.2856  1 Er 2.90, 1 Sc 3.15, 2 Tm 3.19
Tm: 0.9623 0.2101 0.7144  1 Er 2.90, 1 Sc 3.15, 2 Tm 3.19
Tm: 0.0377 0.7899 0.2856  1 Er 2.90, 1 Sc 3.15, 2 Tm 3.19
Tm: 0.4957 0.2478 0.2856  1 Er 2.90, 1 Sc 3.15, 2 Tm 3.19
Tm: 0.4282 0.2142 0.6422  9 Tm 3.54-3.69, 3 Sc 3.78
Tm: 0.5043 0.7522 0.7144  1 Er 2.90, 1 Sc 3.15, 2 Tm 3.19
Tm: 0.5718 0.7858 0.3578  9 Tm 3.54-3.69, 3 Sc 3.78
Er: 0.0000 0.5000 0.5000  6 Tm 2.90
Sc: 0.5000 0.5000 0.0000  4 Tm 3.31, 6 Sc 3.48
Sc: 0.5000 0.0000 0.0000  4 Tm 3.31, 6 Sc 3.48
Sc: 0.0000 0.5000 0.0000  4 Tm 3.31, 6 Sc 3.48
Sc: 0.0000 0.0000 0.0000  6 Tm 3.15, 6 Sc 3.48

**Energy relative to the elements**: 273 meV/atom
**Total magnetic moment**: 0.0 μB/cell
**Symmetry**: R-3m (166)

VASP calculation (GGA-PBE) on Er4Tm3Sc3 after structural relaxation.

a b c (Å): 3.5851 8.9495 8.9495
angles (deg): 90.46 90.00 90.00
Last column: nearest neighbours and their distance in Å.
Fractional coordinates of all 10 atoms:
Tm: 0.0000 0.5010 0.0008  4 Er 3.46-3.57, 4 Tm 3.59-3.78, 6 Sc 3.76-3.80
Tm: 0.0000 0.9992 0.4990  4 Er 3.46-3.57, 4 Tm 3.59-3.78, 6 Sc 3.76-3.80
Tm: 0.5000 0.1696 0.8304  6 Er 3.18-3.29
Er: 0.0000 0.8646 0.8740  4 Sc 3.10-3.21, 3 Tm 3.29-3.46, 1 Er 3.30
Er: 0.0000 0.6308 0.3692  6 Sc 3.10-3.23, 1 Er 3.24
Er: 0.0000 0.3759 0.6241  4 Tm 3.18-3.54, 4 Sc 3.21, 1 Er 3.24
Er: 0.0000 0.1260 0.1354  4 Sc 3.10-3.21, 3 Tm 3.29-3.46, 1 Er 3.30
Sc: 0.5000 0.8302 0.1698  6 Er 3.10-3.21
Sc: 0.5000 0.6704 0.6677  6 Er 3.10-3.23
Sc: 0.5000 0.3323 0.3296  6 Er 3.10-3.23

**Energy relative to the elements**: 89 meV/atom
**Total magnetic moment**: 0.0 μB/cell
**Symmetry**: Amm2 (38)